[1]
An optimized crystal structure of Y2ZrRu. Source: Alexandria, functional PBE.

a b c (Å): 8.3560 8.3560 6.5999
angles (deg): 50.72 50.72 90.00
With the nearest neighbours (Å) after each atom.
Element x y z (fractional)
Y: 0.3750 0.3061 0.7500  2 Ru 2.68
Y: 0.0561 0.6250 0.2500  2 Ru 2.68
Y: 0.8750 0.9439 0.7500  2 Ru 2.68
Y: 0.6939 0.1250 0.2500  2 Ru 2.68
Zr: 0.2500 0.7500 0.5000  2 Ru 2.94
Zr: 0.5000 0.5000 0.0000  2 Ru 2.94
Ru: 0.0000 0.0000 0.0000  4 Y 2.68, 2 Zr 2.94
Ru: 0.7500 0.2500 0.5000  4 Y 2.68, 2 Zr 2.94

Output
The energy relative to the lowest polymorph listed for this composition comes out at 478.1 meV per atom. The formation energy from the elements is 1.0 eV per formula unit.


[2]
An optimized crystal structure of HoAlFe. Source: Alexandria, functional PBE.

a b c (Å): 5.2900 5.2900 5.2900
angles (deg): 92.04 117.98 119.69
With the nearest neighbours (Å) after each atom.
Element x y z (fractional)
Al: 0.5000 0.5000 0.5000  4 Fe 2.65, 2 Al 2.73
Al: 0.0000 0.5000 0.0000  4 Fe 2.65, 2 Al 2.73
Ho: 0.2500 0.1143 0.8643  6 Fe 2.99-3.19, 6 Al 3.10-3.14, 4 Ho 3.20-3.32
Ho: 0.7500 0.8857 0.1357  6 Fe 2.99-3.19, 6 Al 3.10-3.14, 4 Ho 3.20-3.32
Fe: 0.5000 0.0000 0.5000  4 Al 2.65, 2 Fe 2.66
Fe: 0.0000 0.5000 0.5000  4 Al 2.65, 2 Fe 2.66

Output
The formation energy from the elements is -0.9 eV per formula unit.


[3]
An optimized crystal structure of ScCdMo2. Source: Alexandria, functional PBE.

a b c (Å): 2.7746 2.7746 9.3988
angles (deg): 90.00 90.00 90.00
With the nearest neighbours (Å) after each atom.
Element x y z (fractional)
Cd: 0.5000 0.5000 0.7500  4 Cd 2.77, 8 Mo 3.05
Mo: 0.0000 0.0000 0.5019  4 Mo 2.77, 4 Cd 3.05, 4 Sc 3.08
Mo: 0.0000 0.0000 0.9981  4 Mo 2.77, 4 Cd 3.05, 4 Sc 3.08
Sc: 0.5000 0.5000 0.2500  4 Sc 2.77, 8 Mo 3.08

Output
The formation energy from the elements is 1.2 eV per formula unit.